(1)
Here is a geometry-optimized Sm6Cd5Pb structure from Alexandria. Energies are from GGA-PBE.

## Properties
total DFT energy (no corrections): -81.7 eV for the cell shown
energy relative to the elements: -411 kJ/mol of formula units
spin magnetization: 1.94 Bohr magnetons per cell

abc: 5.4094 16.3140 7.6411
angles: 90.00 90.00 90.00
Space group Cmmm (No. 65)
Symmetry-distinct sites (fractional):
Sm 0.0000 0.0000 0.2488 (multiplicity 4)
Sm 0.0000 0.3325 0.2457 (multiplicity 8)
Cd 0.0000 0.1661 0.0000 (multiplicity 4)
Cd 0.0000 0.1740 0.5000 (multiplicity 4)
Cd 0.0000 0.5000 0.0000 (multiplicity 2)
Pb 0.0000 0.5000 0.5000 (multiplicity 2)

***

(2)
Here is a geometry-optimized CaPmTlRh structure from Alexandria. Energies are from GGA-PBE.

## Properties
total DFT energy (no corrections): -18.4 eV for the cell shown
energy relative to the elements: -184 kJ/mol of formula units
excess energy over the best structure of this formula in the dataset: 0 meV/atom
spin magnetization: 0.00 Bohr magnetons per cell

abc: 3.4724 3.4724 8.4343
angles: 90.00 90.00 90.00
Space group P4mm (No. 99)
Symmetry-distinct sites (fractional):
Ca 0.0000 0.0000 0.0000 (multiplicity 1)
Pm 0.0000 0.0000 0.5859 (multiplicity 1)
Tl 0.5000 0.5000 0.2870 (multiplicity 1)
Rh 0.5000 0.5000 0.7783 (multiplicity 1)

***

(3)
Here is a geometry-optimized ZnPdS structure from Alexandria. Energies are from GGA-PBE.

## Properties
total DFT energy (no corrections): -44.0 eV for the cell shown
spin magnetization: 0.00 Bohr magnetons per cell
energy relative to the elements, uncorrected: -0.1320 eV per atom

abc: 9.6390 3.4629 6.0384
angles: 90.00 90.00 90.00
Space group Amm2 (No. 38)
Symmetry-distinct sites (fractional):
Zn 0.1773 0.0000 0.0000 (multiplicity 4)
Pd 0.0000 0.0000 0.3362 (multiplicity 2)
Pd 0.5000 0.0000 0.3772 (multiplicity 2)
S 0.3209 0.0000 0.6503 (multiplicity 4)

***

(4)
Here is a geometry-optimized SnOsS2 structure from Alexandria. Energies are from GGA-PBE.

## Properties
total DFT energy (no corrections): -71.1 eV for the cell shown
spin magnetization: 0.00 Bohr magnetons per cell
energy relative to the elements, uncorrected: -0.0539 eV per atom

abc: 3.5547 3.5547 23.9815
angles: 90.00 90.00 120.00
Space group R-3m (No. 166, hexagonal axes)
Symmetry-distinct sites (fractional):
Sn 0.0000 0.0000 0.0000 (multiplicity 3)
Os 0.0000 0.0000 0.5000 (multiplicity 3)
S 0.0000 0.0000 0.1171 (multiplicity 6)

***

(5)
Here is a geometry-optimized SiSbCl structure from Alexandria. Energies are from GGA-PBE.

## Properties
total DFT energy (no corrections): -23.8 eV for the cell shown
excess energy over the best structure of this formula in the dataset: 0 meV/atom
spin magnetization: 0.00 Bohr magnetons per cell
energy relative to the elements, uncorrected: -0.1611 eV per atom

abc: 3.6249 3.6249 14.5849
angles: 90.00 90.00 90.00
Space group I4mm (No. 107)
Symmetry-distinct sites (fractional):
Si 0.0000 0.0000 0.0000 (multiplicity 2)
Sb 0.0000 0.0000 0.5730 (multiplicity 2)
Cl 0.0000 0.0000 0.8577 (multiplicity 2)

***

(6)
Here is a geometry-optimized ZrCoMo2 structure from Alexandria. Energies are from GGA-PBE.

## Properties
total DFT energy (no corrections): -36.8 eV for the cell shown
energy relative to the elements: 52 kJ/mol of formula units
excess energy over the best structure of this formula in the dataset: 152 meV/atom
spin magnetization: 1.04 Bohr magnetons per cell

abc: 2.8013 4.3549 5.3626
angles: 90.00 99.96 90.00
Space group Pm (No. 6)
Symmetry-distinct sites (fractional):
Zr 0.0000 0.0000 0.0000 (multiplicity 1)
Co 0.7322 0.5000 0.2445 (multiplicity 1)
Mo 0.2618 0.5000 0.7144 (multiplicity 1)
Mo 0.4849 0.0000 0.4977 (multiplicity 1)

***

(7)
Here is a geometry-optimized Nd3Zn8Hg structure from Alexandria. Energies are from GGA-PBE.

## Properties
total DFT energy (no corrections): -83.9 eV for the cell shown
energy relative to the elements: -306 kJ/mol of formula units
spin magnetization: 0.00 Bohr magnetons per cell

abc: 5.5561 5.5561 27.1604
angles: 90.00 90.00 120.00
Space group R3m (No. 160, hexagonal axes)
Symmetry-distinct sites (fractional):
Nd 0.0000 0.0000 0.0000 (multiplicity 3)
Nd 0.0000 0.0000 0.1274 (multiplicity 3)
Nd 0.0000 0.0000 0.5137 (multiplicity 3)
Zn 0.0000 0.0000 0.3176 (multiplicity 3)
Zn 0.0000 0.0000 0.8165 (multiplicity 3)
Zn 0.0021 0.5010 0.5666 (multiplicity 9)
Zn 0.0066 0.5033 0.0686 (multiplicity 9)
Hg 0.0000 0.0000 0.6356 (multiplicity 3)

***

(8)
Here is a geometry-optimized K2SmInBr6 structure from Alexandria. Energies are from GGA-PBE.

## Properties
total DFT energy (no corrections): -107.0 eV for the cell shown
spin magnetization: 0.00 Bohr magnetons per cell
energy relative to the elements, uncorrected: -1.5979 eV per atom

abc: 8.1292 8.1292 21.1898
angles: 90.00 90.00 120.00
Space group R3 (No. 146, hexagonal axes)
Symmetry-distinct sites (fractional):
K 0.0000 0.0000 0.0000 (multiplicity 3)
K 0.0000 0.0000 0.4898 (multiplicity 3)
Sm 0.0000 0.0000 0.6963 (multiplicity 3)
In 0.0000 0.0000 0.2058 (multiplicity 3)
Br 0.0161 0.3934 0.4352 (multiplicity 9)
Br 0.0654 0.6882 0.2779 (multiplicity 9)

***

(9)
Here is a geometry-optimized AlFeW2Cl structure from Alexandria. Energies are from GGA-PBE.

## Properties
total DFT energy (no corrections): -31.7 eV for the cell shown
spin magnetization: 3.11 Bohr magnetons per cell
energy relative to the elements, uncorrected: 1.6589 eV per atom

abc: 4.3819 4.3819 4.4891
angles: 90.00 90.00 90.00
Space group P4/mmm (No. 123)
Symmetry-distinct sites (fractional):
Al 0.0000 0.0000 0.0000 (multiplicity 1)
Fe 0.5000 0.5000 0.0000 (multiplicity 1)
W 0.0000 0.5000 0.5000 (multiplicity 2)
Cl 0.0000 0.0000 0.5000 (multiplicity 1)

***

(10)
Here is a geometry-optimized Sc4Rh2N structure from Alexandria. Energies are from GGA-PBE.

## Properties
total DFT energy (no corrections): -109.6 eV for the cell shown
spin magnetization: 0.00 Bohr magnetons per cell
energy relative to the elements, uncorrected: -0.9198 eV per atom

abc: 4.2384 4.2384 13.8514
angles: 90.00 90.00 90.00
Space group I4/mmm (No. 139)
Symmetry-distinct sites (fractional):
Sc 0.0000 0.0000 0.1695 (multiplicity 4)
Sc 0.0000 0.5000 0.0000 (multiplicity 4)
Rh 0.0000 0.0000 0.3589 (multiplicity 4)
N 0.0000 0.0000 0.0000 (multiplicity 2)

***

(11)
Here is a geometry-optimized CrTcW2 structure from Alexandria. Energies are from GGA-PBE.

## Properties
total DFT energy (no corrections): -133.4 eV for the cell shown
energy relative to the elements: 138 kJ/mol of formula units
excess energy over the best structure of this formula in the dataset: 338 meV/atom
spin magnetization: 0.00 Bohr magnetons per cell

abc: 2.8974 2.8974 24.8538
angles: 90.00 90.00 120.00
Space group R-3m (No. 166, hexagonal axes)
Symmetry-distinct sites (fractional):
Cr 0.0000 0.0000 0.0000 (multiplicity 3)
Tc 0.0000 0.0000 0.5000 (multiplicity 3)
W 0.0000 0.0000 0.2537 (multiplicity 6)

***

(12)
Here is a geometry-optimized K2CuRe structure from Alexandria. Energies are from GGA-PBE.

## Properties
total DFT energy (no corrections): -46.9 eV for the cell shown
energy relative to the elements: 676 kJ/mol of formula units
excess energy over the best structure of this formula in the dataset: 849 meV/atom
spin magnetization: 16.15 Bohr magnetons per cell

abc: 7.9936 7.9936 7.9936
angles: 90.00 90.00 90.00
Space group Fm-3m (No. 225)
Symmetry-distinct sites (fractional):
K 0.2500 0.2500 0.2500 (multiplicity 8)
Cu 0.0000 0.0000 0.0000 (multiplicity 4)
Re 0.0000 0.0000 0.5000 (multiplicity 4)